(1)
An optimized crystal structure of YHoBr2O, computed with GGA-PBE.

a b c (Å): 3.6585 3.6585 10.1017
angles (deg): 90.00 90.00 120.00
Positions (direct):
Y1 0.0000 0.0000 0.0000
Ho1 0.6667 0.3333 0.7556
Br1 0.0000 0.0000 0.5660
Br2 0.6667 0.3333 0.1933
O1 0.3333 0.6667 0.8692

Calculated values
E: -29.7 eV for the cell shown
Space group: P3m1 (156)

(2)
An optimized crystal structure of YHoBr2O2, computed with GGA-PBE.

a b c (Å): 3.8267 3.8267 8.4524
angles (deg): 90.00 90.00 90.00
Positions (direct):
Y1 0.0000 0.0000 0.0000
Ho1 0.5000 0.5000 0.2691
Br1 0.0000 0.0000 0.4647
Br2 0.5000 0.5000 0.8038
O1 0.0000 0.5000 0.1361
O2 0.5000 0.0000 0.1361

Calculated values
E: -41.7 eV for the cell shown
Space group: P4mm (99)

(3)
An optimized crystal structure of Pr2Ho2SiBr5, computed with GGA-PBE.

a b c (Å): 9.4276 9.4276 8.8112
angles (deg): 101.76 101.76 25.19
Positions (direct):
Pr1 0.0014 0.0014 0.2757
Pr2 0.9986 0.9986 0.7243
Ho1 0.3515 0.3515 0.4238
Ho2 0.6485 0.6485 0.5762
Si1 0.5000 0.5000 0.5000
Br1 0.1698 0.1698 0.8092
Br2 0.1775 0.1775 0.3587
Br3 0.5000 0.5000 0.0000
Br4 0.8225 0.8225 0.6413
Br5 0.8302 0.8302 0.1908

Calculated values
E: -47.3 eV for the cell shown
Space group: C2/m (12)

(4)
An optimized crystal structure of Ho6PtBr, computed with GGA-PBE.

a b c (Å): 5.9734 5.9734 5.9734
angles (deg): 95.53 95.53 95.53
Positions (direct):
Ho1 0.0370 0.7504 0.5634
Ho2 0.2496 0.4366 0.9630
Ho3 0.4366 0.9630 0.2496
Ho4 0.5634 0.0370 0.7504
Ho5 0.7504 0.5634 0.0370
Ho6 0.9630 0.2496 0.4366
Pt1 0.5000 0.5000 0.5000
Br1 0.0000 0.0000 0.0000

Calculated values
E: -36.8 eV for the cell shown
Space group: R-3 (148)

(5)
An optimized crystal structure of HoScS2Br2, computed with GGA-PBE.

a b c (Å): 3.9057 5.2312 8.9043
angles (deg): 90.00 90.00 90.00
Positions (direct):
Ho1 0.0000 0.0000 0.0000
Sc1 0.5000 0.5000 0.7528
S1 0.0000 0.5000 0.9455
S2 0.5000 0.0000 0.7885
Br1 0.0000 0.5000 0.5447
Br2 0.5000 0.0000 0.2250

Calculated values
E: -34.0 eV for the cell shown
Space group: Pmm2 (25)

(6)
An optimized crystal structure of HoTmS2Br2, computed with GGA-PBE.

a b c (Å): 4.0142 5.3239 9.0452
angles (deg): 90.00 90.00 90.00
Positions (direct):
Ho1 0.0000 0.0000 0.0000
Tm1 0.5000 0.5000 0.7490
S1 0.0000 0.5000 0.9498
S2 0.5000 0.0000 0.7950
Br1 0.0000 0.5000 0.5348
Br2 0.5000 0.0000 0.2177

Calculated values
E: -32.7 eV for the cell shown
Space group: Pmm2 (25)

(7)
An optimized crystal structure of SmHoSbBr2, computed with GGA-PBE.

a b c (Å): 4.2586 4.2586 10.8864
angles (deg): 90.00 90.00 120.00
Positions (direct):
Sm1 0.0000 0.0000 0.0000
Ho1 0.3333 0.6667 0.3223
Sb1 0.6667 0.3333 0.1669
Br1 0.0000 0.0000 0.4772
Br2 0.3333 0.6667 0.8378

Calculated values
E: -24.1 eV for the cell shown
Space group: P3m1 (156)

(8)
An optimized crystal structure of TbHoSbBr2, computed with GGA-PBE.

a b c (Å): 4.2191 4.2191 10.7934
angles (deg): 90.00 90.00 120.00
Positions (direct):
Tb1 0.0000 0.0000 0.0000
Ho1 0.3333 0.6667 0.3208
Sb1 0.6667 0.3333 0.1624
Br1 0.0000 0.0000 0.4782
Br2 0.3333 0.6667 0.8406

Calculated values
E: -24.0 eV for the cell shown
Space group: P3m1 (156)